Record 1
This record from Alexandria via LeMat-Bulk describes a geometry-optimized Nd8Bi3SbTe4 structure. The functional is PBE-GGA.

**Fermi-level density of states**: 7.8 states/eV/cell
**ΔE_f (raw)**: -1.25 eV/atom

Cell: 9.112 9.086 9.112 Å, 120.11 120.00 90.00°
Fractional coordinates of all 16 atoms:
1 Nd 0.251 0.251 0.501
2 Nd 0.754 0.255 0.001
3 Nd 0.246 0.745 0.999
4 Nd 0.749 0.749 0.499
5 Nd 0.753 0.254 0.506
6 Nd 0.246 0.255 0.001
7 Nd 0.754 0.745 0.999
8 Nd 0.247 0.746 0.494
9 Sb 0.000 0.500 0.000
10 Bi 0.500 0.500 0.000
11 Bi 0.000 0.500 0.500
12 Bi 0.500 0.500 0.500
13 Te 0.000 0.000 0.000
14 Te 0.000 0.000 0.500
15 Te 0.500 0.000 0.000
16 Te 0.500 0.000 0.500



Record 2
This record from Alexandria via LeMat-Bulk describes a geometry-optimized LaVHg3 structure. The functional is PBE-GGA.

**Fermi-level density of states**: 11.1 states/eV/cell
**Formation enthalpy at 0 K**: 5.217 eV/f.u.
**Energy above the lowest structure with this stoichiometry**: 905 meV/atom

Cell: 5.915 5.915 5.915 Å, 90.00 90.00 90.00°
Last column: magnetic moment on the atom in μB.
Fractional coordinates of all 5 atoms:
1 Hg 0.500 0.000 0.000  -0.01
2 Hg 0.000 0.000 0.500  -0.01
3 Hg 0.000 0.500 0.000  -0.01
4 V 0.500 0.500 0.500  3.21
5 La 0.000 0.000 0.000  -0.20



Record 3
This record from Alexandria via LeMat-Bulk describes a geometry-optimized Ta2HgSe structure. The functional is PBE-GGA.

**Fermi-level density of states**: 4.5 states/eV/cell
**ΔE_f (raw)**: 0.55 eV/atom
**Energy above the lowest structure with this stoichiometry**: 576 meV/atom

Cell: 4.112 4.112 10.174 Å, 78.34 78.34 90.00°
Fractional coordinates of all 8 atoms:
1 Hg 0.000 0.000 0.000
2 Hg 0.750 0.250 0.500
3 Ta 0.375 0.373 0.750
4 Ta 0.627 0.125 0.250
5 Ta 0.123 0.625 0.250
6 Ta 0.875 0.877 0.750
7 Se 0.500 0.500 0.000
8 Se 0.250 0.750 0.500



Record 4
This record from Alexandria via LeMat-Bulk describes a geometry-optimized HgPtCl2 structure. The functional is PBE-GGA.

**ΔE_f (raw)**: -0.18 eV/atom
**Energy above the lowest structure with this stoichiometry**: 45 meV/atom

Cell: 3.444 3.899 7.982 Å, 89.63 90.00 90.00°
Fractional coordinates of all 4 atoms:
1 Hg 0.000 0.538 0.518
2 Pt 0.500 0.759 0.748
3 Cl 0.500 0.311 0.306
4 Cl 0.000 0.892 0.928



Record 5
This record from Alexandria via LeMat-Bulk describes a geometry-optimized Tb2Pr2Bi2C structure. The functional is PBE-GGA.

**Fermi-level density of states**: 7.0 states/eV/cell
**Formation enthalpy at 0 K**: -4.807 eV/f.u.

Cell: 4.892 4.892 9.039 Å, 105.70 105.70 90.00°
Fractional coordinates of all 7 atoms:
1 Pr 0.841 0.841 0.681
2 Pr 0.159 0.159 0.319
3 C 0.000 0.000 0.000
4 Bi 0.638 0.638 0.277
5 Bi 0.362 0.362 0.723
6 Tb 0.000 0.500 0.000
7 Tb 0.500 0.000 0.000



Record 6
This record from Alexandria via LeMat-Bulk describes a geometry-optimized Cu2ReAs structure. The functional is PBE-GGA.

**Fermi-level density of states**: 2.3 states/eV/cell
**Formation enthalpy at 0 K**: 1.768 eV/f.u.

Cell: 2.720 2.720 8.764 Å, 90.00 90.00 115.46°
Fractional coordinates of all 4 atoms:
1 Cu 0.000 0.000 0.017
2 Cu 0.500 0.500 0.243
3 Re 0.000 0.000 0.492
4 As 0.500 0.500 0.748



no.,total magnetic moment (μB/f.u.)
1,0.00
2,3.53
3,0.00
4,0.00
5,0.00
6,0.00